Record 1
! Ca2TlSnHg PBE relaxed; values from VASP
&SYSTEM
  ibrav = 0, nat = 10, ntyp = 4
/
ATOMIC_SPECIES
Ca 40.08 Ca.upf
Sn 118.71 Sn.upf
Hg 200.59 Hg.upf
Tl 204.38 Tl.upf
CELL_PARAMETERS angstrom
-0.460 3.506 -3.405
-4.034 -5.011 -4.616
-5.419 3.228 4.056
ATOMIC_POSITIONS angstrom
Ca -6.856 2.399 1.626
Sn -5.322 3.430 -1.058
Hg -3.939 1.444 -3.289
Sn -4.591 -1.706 -2.907
Ca -3.057 -0.675 -5.591
Ca -6.895 0.243 -4.128
Tl -1.309 2.669 -2.383
Hg -5.974 0.280 -0.675
Tl -8.604 -0.945 -1.582
Ca -3.018 1.481 0.163
! Electronic total energy = -2.56 eV per atom
! Energy of formation = -420 meV per atom
! M_tot = 0.000 μB/cell
! Crystal system = monoclinic
! V = 284.4 Å³/cell

Record 2
! CaTlSnHg PBE relaxed; values from VASP
&SYSTEM
  ibrav = 0, nat = 4, ntyp = 4
/
ATOMIC_SPECIES
Ca 40.08 Ca.upf
Hg 200.59 Hg.upf
Tl 204.38 Tl.upf
Sn 118.71 Sn.upf
CELL_PARAMETERS angstrom
-3.716 -3.084 2.371
1.188 -5.062 1.383
0.514 -1.321 5.190
ATOMIC_POSITIONS angstrom
Ca -1.511 -7.100 6.708
Hg 0.000 0.000 0.000
Tl -1.007 -4.733 4.472
Sn -0.504 -2.367 2.236
! Electronic total energy = -2.44 eV per atom
! Energy of formation = -271 meV per atom
! M_tot = 0.000 μB/cell
! Crystal system = cubic
! V = 110.1 Å³/cell

Record 3
! CaYSnHg PBE relaxed; values from VASP
&SYSTEM
  ibrav = 0, nat = 4, ntyp = 4
/
ATOMIC_SPECIES
Sn 118.71 Sn.upf
Y 88.91 Y.upf
Hg 200.59 Hg.upf
Ca 40.08 Ca.upf
CELL_PARAMETERS angstrom
5.349 0.000 0.000
2.674 4.632 0.000
2.674 1.544 4.367
ATOMIC_POSITIONS angstrom
Sn 5.349 3.088 2.184
Y 8.023 4.632 3.275
Hg 0.000 0.000 0.000
Ca 2.674 1.544 1.092
! Electronic total energy = -3.78 eV per atom
! Energy of formation = -591 meV per atom
! M_tot = 0.000 μB/cell
! Crystal system = cubic
! V = 108.2 Å³/cell
! Energy above the lowest structure with this stoichiometry = 0.000 eV/atom

Record 4
! CaYSnHg PBE relaxed; values from VASP
&SYSTEM
  ibrav = 0, nat = 4, ntyp = 4
/
ATOMIC_SPECIES
Ca 40.08 Ca.upf
Sn 118.71 Sn.upf
Hg 200.59 Hg.upf
Y 88.91 Y.upf
CELL_PARAMETERS angstrom
-3.626 -1.045 -0.117
0.857 -3.182 1.842
-1.226 3.512 6.638
ATOMIC_POSITIONS angstrom
Ca -0.431 1.236 2.335
Sn -2.137 0.042 4.937
Hg -1.506 -1.765 1.522
Y -1.058 3.031 5.729
! Electronic total energy = -3.78 eV per atom
! Energy of formation = -588 meV per atom
! M_tot = 0.000 μB/cell
! Crystal system = tetragonal
! V = 108.5 Å³/cell
! Energy above the lowest structure with this stoichiometry = 0.002 eV/atom